Record 1
Computed, not measured: a relaxed structure of Mn2CrAuN at the PBE level of DFT.

## Properties
SG: P4/mmm, No. 123
E_tot (eV for the cell shown): -40.41
E_form (uncorrected) (eV/atom): -0.169

Unit cell a=4.0464 b=4.0464 c=3.8962 alpha=90.00 beta=90.00 gamma=90.00
Closest atoms and distances in Å follow each position.
Fractional coordinates of all 5 atoms:
1 N 0.0000 0.0000 0.0000  2 Cr 1.95, 4 Mn 2.02
2 Mn 0.5000 0.0000 0.0000  2 N 2.02
3 Mn 0.0000 0.5000 0.0000  2 N 2.02
4 Au 0.5000 0.5000 0.5000  8 Mn 2.81, 4 Cr 2.86
5 Cr 0.0000 0.0000 0.5000  2 N 1.95

Record 2
Computed, not measured: a relaxed structure of MnNbCr2Au at the PBE level of DFT.

## Properties
SG: P4/mmm, No. 123
E_tot (eV for the cell shown): -36.51
Energy relative to the elements (eV/atom): 1.050

Unit cell a=4.1346 b=4.7763 c=4.1346 alpha=90.00 beta=90.00 gamma=90.00
Closest atoms and distances in Å follow each position.
Fractional coordinates of all 5 atoms:
1 Cr 0.5000 0.0000 0.0000  2 Mn 2.07
2 Cr 0.0000 0.0000 0.5000  2 Mn 2.07
3 Nb 0.5000 0.5000 0.5000  4 Au 2.92, 8 Cr 3.16
4 Mn 0.0000 0.0000 0.0000  4 Cr 2.07
5 Au 0.0000 0.5000 0.0000  2 Mn 2.39